Record 1
VASP calculation (PBE) on crystalline Hf6OsPd at its relaxed geometry.

Output
- formation enthalpy at 0 K (kJ/mol of formula units) = -261
- size of the total moment (μB per formula unit) = 0.0
- volume (Å³ per atom) = 19.9

Structure (CIF):
```
data_Hf6OsPd
_chemical_formula_sum 'Hf12 Os2 Pd2'
_space_group_name_H-M_alt 'I 4/m m m'
_space_group_IT_number 139
_space_group_name_Hall '-I 4 2'
_cell_length_a 4.626
_cell_length_b 4.626
_cell_length_c 14.894
_cell_angle_alpha 90.00
_cell_angle_beta 90.00
_cell_angle_gamma 90.00
loop_
_atom_site_label
_atom_site_fract_x
_atom_site_fract_y
_atom_site_fract_z
_atom_site_occupancy
Hf1 0.000 0.000 0.249 1
Hf2 0.000 0.500 0.111 1
Os1 0.000 0.000 0.000 1
Pd1 0.000 0.000 0.500 1
```

=====

Record 2
VASP calculation (PBE) on crystalline HfOsPd2 at its relaxed geometry.

Output
- formation enthalpy at 0 K (kJ/mol of formula units) = -27
- size of the total moment (μB per formula unit) = 0.0
- volume (Å³ per atom) = 16.4

Structure (CIF):
```
data_HfOsPd2
_chemical_formula_sum 'Hf4 Os4 Pd8'
_space_group_name_H-M_alt 'F m -3 m'
_space_group_IT_number 225
_space_group_name_Hall '-F 4 2 3'
_cell_length_a 6.407
_cell_length_b 6.407
_cell_length_c 6.407
_cell_angle_alpha 90.00
_cell_angle_beta 90.00
_cell_angle_gamma 90.00
loop_
_atom_site_label
_atom_site_fract_x
_atom_site_fract_y
_atom_site_fract_z
_atom_site_occupancy
Hf1 0.000 0.000 0.000 1
Os1 0.000 0.000 0.500 1
Pd1 0.250 0.250 0.250 1
```

=====

Record 3
VASP calculation (PBE) on crystalline HfOsPd2 at its relaxed geometry.

Output
- formation enthalpy at 0 K (kJ/mol of formula units) = 6
- size of the total moment (μB per formula unit) = 0.0
- volume (Å³ per atom) = 17.5

Structure (CIF):
```
data_HfOsPd2
_chemical_formula_sum 'Hf4 Os4 Pd8'
_space_group_name_H-M_alt 'I -4 2 d'
_space_group_IT_number 122
_space_group_name_Hall 'I -4 2bw'
_cell_length_a 3.843
_cell_length_b 3.843
_cell_length_c 18.930
_cell_angle_alpha 90.00
_cell_angle_beta 90.00
_cell_angle_gamma 90.00
loop_
_atom_site_label
_atom_site_fract_x
_atom_site_fract_y
_atom_site_fract_z
_atom_site_occupancy
Hf1 0.000 0.000 0.000 1
Os1 0.000 0.000 0.500 1
Pd1 0.241 0.250 0.625 1
```

=====

Record 4
VASP calculation (PBE) on crystalline Hf4Os2Pd at its relaxed geometry.

Output
- formation enthalpy at 0 K (kJ/mol of formula units) = 295
- size of the total moment (μB per formula unit) = 0.0
- volume (Å³ per atom) = 22.5

Structure (CIF):
```
data_Hf4Os2Pd
_chemical_formula_sum 'Hf8 Os4 Pd2'
_space_group_name_H-M_alt 'I 4/m m m'
_space_group_IT_number 139
_space_group_name_Hall '-I 4 2'
_cell_length_a 4.880
_cell_length_b 4.880
_cell_length_c 13.199
_cell_angle_alpha 90.00
_cell_angle_beta 90.00
_cell_angle_gamma 90.00
loop_
_atom_site_label
_atom_site_fract_x
_atom_site_fract_y
_atom_site_fract_z
_atom_site_occupancy
Hf1 0.000 0.000 0.200 1
Hf2 0.000 0.500 0.000 1
Os1 0.000 0.000 0.390 1
Pd1 0.000 0.000 0.000 1
```

=====

Record 5
VASP calculation (PBE) on crystalline Hf2OsPd at its relaxed geometry.

Output
- formation enthalpy at 0 K (kJ/mol of formula units) = -261
- size of the total moment (μB per formula unit) = 0.0
- volume (Å³ per atom) = 17.8

Structure (CIF):
```
data_Hf2OsPd
_chemical_formula_sum 'Hf8 Os4 Pd4'
_space_group_name_H-M_alt 'F m -3 m'
_space_group_IT_number 225
_space_group_name_Hall '-F 4 2 3'
_cell_length_a 6.577
_cell_length_b 6.577
_cell_length_c 6.577
_cell_angle_alpha 90.00
_cell_angle_beta 90.00
_cell_angle_gamma 90.00
loop_
_atom_site_label
_atom_site_fract_x
_atom_site_fract_y
_atom_site_fract_z
_atom_site_occupancy
Hf1 0.250 0.250 0.250 1
Os1 0.000 0.000 0.000 1
Pd1 0.000 0.000 0.500 1
```

=====

Record 6
VASP calculation (PBE) on crystalline Hf2OsPd at its relaxed geometry.

Output
- formation enthalpy at 0 K (kJ/mol of formula units) = -30
- size of the total moment (μB per formula unit) = 0.0
- volume (Å³ per atom) = 19.1

Structure (CIF):
```
data_Hf2OsPd
_chemical_formula_sum 'Hf8 Os4 Pd4'
_space_group_name_H-M_alt 'I -4 2 d'
_space_group_IT_number 122
_space_group_name_Hall 'I -4 2bw'
_cell_length_a 7.220
_cell_length_b 7.220
_cell_length_c 5.876
_cell_angle_alpha 90.00
_cell_angle_beta 90.00
_cell_angle_gamma 90.00
loop_
_atom_site_label
_atom_site_fract_x
_atom_site_fract_y
_atom_site_fract_z
_atom_site_occupancy
Hf1 0.242 0.250 0.125 1
Os1 0.000 0.000 0.000 1
Pd1 0.000 0.000 0.500 1
```

=====

Record 7
VASP calculation (PBE) on crystalline Hf4Os2Pd at its relaxed geometry.

Output
- formation enthalpy at 0 K (kJ/mol of formula units) = -321
- size of the total moment (μB per formula unit) = 0.0
- volume (Å³ per atom) = 19.5

Structure (CIF):
```
data_Hf4Os2Pd
_chemical_formula_sum 'Hf8 Os4 Pd2'
_space_group_name_H-M_alt 'I 4/m m m'
_space_group_IT_number 139
_space_group_name_Hall '-I 4 2'
_cell_length_a 6.524
_cell_length_b 6.524
_cell_length_c 6.410
_cell_angle_alpha 90.00
_cell_angle_beta 90.00
_cell_angle_gamma 90.00
loop_
_atom_site_label
_atom_site_fract_x
_atom_site_fract_y
_atom_site_fract_z
_atom_site_occupancy
Hf1 0.250 0.250 0.250 1
Os1 0.000 0.500 0.000 1
Pd1 0.000 0.000 0.000 1
```

=====

Record 8
VASP calculation (PBE) on crystalline HfOs2Pd at its relaxed geometry.

Output
- formation enthalpy at 0 K (kJ/mol of formula units) = 48
- size of the total moment (μB per formula unit) = 0.0
- volume (Å³ per atom) = 16.1

Structure (CIF):
```
data_HfOs2Pd
_chemical_formula_sum 'Hf4 Os8 Pd4'
_space_group_name_H-M_alt 'F m -3 m'
_space_group_IT_number 225
_space_group_name_Hall '-F 4 2 3'
_cell_length_a 6.363
_cell_length_b 6.363
_cell_length_c 6.363
_cell_angle_alpha 90.00
_cell_angle_beta 90.00
_cell_angle_gamma 90.00
loop_
_atom_site_label
_atom_site_fract_x
_atom_site_fract_y
_atom_site_fract_z
_atom_site_occupancy
Hf1 0.000 0.000 0.000 1
Os1 0.250 0.250 0.250 1
Pd1 0.000 0.000 0.500 1
```

=====

Record 9
VASP calculation (PBE) on crystalline Hf2Os2Pd at its relaxed geometry.

Output
- formation enthalpy at 0 K (kJ/mol of formula units) = -126
- size of the total moment (μB per formula unit) = 0.0
- volume (Å³ per atom) = 17.9

Structure (CIF):
```
data_Hf2Os2Pd
_chemical_formula_sum 'Hf4 Os4 Pd2'
_space_group_name_H-M_alt 'P 4/m b m'
_space_group_IT_number 127
_space_group_name_Hall '-P 4 2ab'
_cell_length_a 7.175
_cell_length_b 7.175
_cell_length_c 3.482
_cell_angle_alpha 90.00
_cell_angle_beta 90.00
_cell_angle_gamma 90.00
loop_
_atom_site_label
_atom_site_fract_x
_atom_site_fract_y
_atom_site_fract_z
_atom_site_occupancy
Hf1 0.174 0.326 0.000 1
Os1 0.128 0.628 0.500 1
Pd1 0.000 0.000 0.500 1
```

=====

Record 10
VASP calculation (PBE) on crystalline PmHfOsPd at its relaxed geometry.

Output
- formation enthalpy at 0 K (kJ/mol of formula units) = -163
- size of the total moment (μB per formula unit) = 0.0
- volume (Å³ per atom) = 19.8

Structure (CIF):
```
data_PmHfOsPd
_chemical_formula_sum 'Pm4 Hf4 Os4 Pd4'
_space_group_name_H-M_alt 'F -4 3 m'
_space_group_IT_number 216
_space_group_name_Hall 'F -4 2 3'
_cell_length_a 6.820
_cell_length_b 6.820
_cell_length_c 6.820
_cell_angle_alpha 90.00
_cell_angle_beta 90.00
_cell_angle_gamma 90.00
loop_
_atom_site_label
_atom_site_fract_x
_atom_site_fract_y
_atom_site_fract_z
_atom_site_occupancy
Pm1 0.000 0.000 0.000 1
Hf1 0.000 0.000 0.500 1
Os1 0.250 0.250 0.750 1
Pd1 0.250 0.250 0.250 1
```

=====

Record 11
VASP calculation (PBE) on crystalline PuHfOsPd at its relaxed geometry.

Output
- formation enthalpy at 0 K (kJ/mol of formula units) = -130
- size of the total moment (μB per formula unit) = 5.4
- volume (Å³ per atom) = 19.1

Structure (CIF):
```
data_PuHfOsPd
_chemical_formula_sum 'Pu4 Hf4 Os4 Pd4'
_space_group_name_H-M_alt 'F -4 3 m'
_space_group_IT_number 216
_space_group_name_Hall 'F -4 2 3'
_cell_length_a 6.732
_cell_length_b 6.732
_cell_length_c 6.732
_cell_angle_alpha 90.00
_cell_angle_beta 90.00
_cell_angle_gamma 90.00
loop_
_atom_site_label
_atom_site_fract_x
_atom_site_fract_y
_atom_site_fract_z
_atom_site_occupancy
Pu1 0.000 0.000 0.000 1
Hf1 0.000 0.000 0.500 1
Os1 0.250 0.250 0.250 1
Pd1 0.250 0.250 0.750 1
```

=====

Record 12
VASP calculation (PBE) on crystalline TbHfOsPd at its relaxed geometry.

Output
- formation enthalpy at 0 K (kJ/mol of formula units) = -214
- size of the total moment (μB per formula unit) = 0.0
- volume (Å³ per atom) = 19.2

Structure (CIF):
```
data_TbHfOsPd
_chemical_formula_sum 'Tb4 Hf4 Os4 Pd4'
_space_group_name_H-M_alt 'F -4 3 m'
_space_group_IT_number 216
_space_group_name_Hall 'F -4 2 3'
_cell_length_a 6.742
_cell_length_b 6.742
_cell_length_c 6.742
_cell_angle_alpha 90.00
_cell_angle_beta 90.00
_cell_angle_gamma 90.00
loop_
_atom_site_label
_atom_site_fract_x
_atom_site_fract_y
_atom_site_fract_z
_atom_site_occupancy
Tb1 0.000 0.000 0.000 1
Hf1 0.000 0.000 0.500 1
Os1 0.250 0.250 0.750 1
Pd1 0.250 0.250 0.250 1
```

=====

Record 13
VASP calculation (PBE) on crystalline Hf2TcOsPd at its relaxed geometry.

Output
- formation enthalpy at 0 K (kJ/mol of formula units) = 582
- size of the total moment (μB per formula unit) = 0.5
- volume (Å³ per atom) = 21.6

Structure (CIF):
```
data_Hf2TcOsPd
_chemical_formula_sum 'Hf2 Tc1 Os1 Pd1'
_space_group_name_H-M_alt 'P 4/m m m'
_space_group_IT_number 123
_space_group_name_Hall '-P 4 2'
_cell_length_a 4.812
_cell_length_b 4.812
_cell_length_c 4.655
_cell_angle_alpha 90.00
_cell_angle_beta 90.00
_cell_angle_gamma 90.00
loop_
_atom_site_label
_atom_site_fract_x
_atom_site_fract_y
_atom_site_fract_z
_atom_site_occupancy
Hf1 0.000 0.500 0.000 1
Tc1 0.000 0.000 0.000 1
Os1 0.500 0.500 0.500 1
Pd1 0.000 0.000 0.500 1
```